Crystalline AcNd2S5 at its relaxed geometry, computed with PBE.

Summary:
VASP energy ... -6.14 eV per atom
Fermi-level density of states ... 11.682 states/eV/cell
Raw formation energy ... -42.68 kcal/mol of atoms
Symmetry ... I4/mcm

a = 7.6503 Å, b = 7.6503 Å, c = 8.4584 Å
α = 116.89°, β = 116.89°, γ = 90.00°
With the nearest neighbours (Å) after each atom.
Sites, in units of the cell vectors:
1 Nd 0.8428 0.6572 0.0000  8 S 2.79-3.01
2 Nd 0.1572 0.3428 0.0000  8 S 2.79-3.01
3 Nd 0.3428 0.8428 0.0000  8 S 2.79-3.01
4 Nd 0.6572 0.1572 0.0000  8 S 2.79-3.01
5 S 0.5000 0.5000 0.0000  4 Nd 2.89
6 S 0.7945 0.9919 0.2863  3 Nd 2.79-3.01
7 S 0.5081 0.7055 0.7137  3 Nd 2.79-3.01
8 S 0.2945 0.7945 0.2863  3 Nd 2.79-3.01
9 S 0.4919 0.2945 0.2863  3 Nd 2.79-3.01
10 S 0.9919 0.4919 0.2863  3 Nd 2.79-3.01
11 S 0.2055 0.0081 0.7137  3 Nd 2.79-3.01
12 S 0.0000 0.0000 0.0000  4 Nd 2.89
13 S 0.0081 0.5081 0.7137  3 Nd 2.79-3.01
14 S 0.7055 0.2055 0.7137  3 Nd 2.79-3.01
15 Ac 0.7500 0.7500 0.5000  10 S 3.22-3.25
16 Ac 0.2500 0.2500 0.5000  10 S 3.22-3.25